[1]
A crystal of AsSe2BrN relaxed with PBEsol, computed with SCAN.

Properties
Raw formation energy   1.121 eV per atom
Uncorrected energy   -16.699 eV/atom
SG   P4/mmm, No. 123
Polymorph energy (0 for the lowest one)   105 meV per atom

Lattice parameters (Å, degrees): 4.319 4.512 4.512 90.00 90.00 90.00
Atoms (fractional coordinates):
N 0.000 0.000 0.000
Se 0.000 0.000 0.500
Se 0.000 0.500 0.000
As 0.500 0.500 0.500
Br 0.500 0.000 0.000

***

[2]
A crystal of AsSe2BrN relaxed with PBEsol, computed with SCAN.

Properties
Raw formation energy   1.235 eV per atom
Uncorrected energy   -16.585 eV/atom
SG   P4/mmm, No. 123
Polymorph energy (0 for the lowest one)   219 meV per atom

Lattice parameters (Å, degrees): 4.960 4.960 5.302 90.00 90.00 90.00
Atoms (fractional coordinates):
N 0.500 0.500 0.500
Se 0.500 0.000 0.000
Se 0.000 0.500 0.000
Br 0.000 0.000 0.500
As 0.000 0.000 0.000

***

[3]
A crystal of SiAsBr2N relaxed with PBEsol, computed with SCAN.

Properties
Raw formation energy   1.247 eV per atom
Uncorrected energy   -14.436 eV/atom
SG   P4/mmm, No. 123

Lattice parameters (Å, degrees): 4.521 4.521 4.440 90.00 90.00 90.00
Atoms (fractional coordinates):
Br 0.500 0.000 0.000
Br 0.000 0.500 0.000
As 0.000 0.000 0.500
Si 0.500 0.500 0.500
N 0.000 0.000 0.000

***

[4]
A crystal of Te2AsBrN relaxed with PBEsol, computed with SCAN.

Properties
Raw formation energy   1.559 eV per atom
Uncorrected energy   -23.129 eV/atom
SG   P4/mmm, No. 123

Lattice parameters (Å, degrees): 3.673 5.622 5.622 90.00 90.00 90.00
Atoms (fractional coordinates):
N 0.500 0.000 0.000
As 0.500 0.500 0.500
Br 0.000 0.000 0.000
Te 0.000 0.000 0.500
Te 0.000 0.500 0.000

***

[5]
A crystal of TlAs2BrN relaxed with PBEsol, computed with SCAN.

Properties
Raw formation energy   1.609 eV per atom
Uncorrected energy   -26.689 eV/atom
SG   P4/mmm, No. 123

Lattice parameters (Å, degrees): 5.369 5.369 5.809 90.00 90.00 90.00
Atoms (fractional coordinates):
Tl 0.000 0.000 0.000
As 0.000 0.500 0.000
As 0.500 0.000 0.000
Br 0.000 0.000 0.500
N 0.500 0.500 0.500

***

[6]
A crystal of As2WBrN relaxed with PBEsol, computed with SCAN.

Properties
Raw formation energy   1.304 eV per atom
Uncorrected energy   -26.460 eV/atom
SG   P4/mmm, No. 123

Lattice parameters (Å, degrees): 4.794 4.794 5.220 90.00 90.00 90.00
Atoms (fractional coordinates):
As 0.000 0.500 0.000
As 0.500 0.000 0.000
W 0.000 0.000 0.000
N 0.500 0.500 0.500
Br 0.000 0.000 0.500

***

[7]
A crystal of ZnAs2BrN relaxed with PBEsol, computed with SCAN.

Properties
Raw formation energy   1.389 eV per atom
Uncorrected energy   -15.141 eV/atom
SG   P4/mmm, No. 123

Lattice parameters (Å, degrees): 4.787 4.787 5.160 90.00 90.00 90.00
Atoms (fractional coordinates):
As 0.500 0.000 0.000
As 0.000 0.500 0.000
Br 0.000 0.000 0.500
Zn 0.000 0.000 0.000
N 0.500 0.500 0.500

***

[8]
A crystal of NaAs4BrO6 relaxed with PBEsol, computed with SCAN.

Properties
Raw formation energy   -1.386 eV per atom
Uncorrected energy   -13.205 eV/atom
SG   Pnma, No. 62

Lattice parameters (Å, degrees): 5.264 8.044 18.811 90.00 90.00 90.00
Atoms (fractional coordinates):
O 0.250 0.123 0.355
O 0.998 0.166 0.624
O 0.498 0.688 0.550
O 0.250 0.377 0.855
O 0.750 0.877 0.645
O 0.750 0.623 0.145
O 0.998 0.188 0.950
O 0.998 0.312 0.450
O 0.002 0.812 0.050
O 0.250 0.063 0.097
O 0.502 0.166 0.624
O 0.498 0.812 0.050
O 0.250 0.437 0.597
O 0.502 0.188 0.950
O 0.498 0.666 0.876
O 0.502 0.334 0.124
O 0.002 0.834 0.376
O 0.002 0.666 0.876
O 0.002 0.688 0.550
O 0.502 0.312 0.450
O 0.498 0.834 0.376
O 0.998 0.334 0.124
O 0.750 0.563 0.403
O 0.750 0.937 0.903
As 0.750 0.843 0.550
As 0.250 0.157 0.450
As 0.250 0.584 0.817
As 0.750 0.657 0.050
As 0.250 0.281 0.670
As 0.750 0.084 0.683
As 0.250 0.916 0.317
As 0.250 0.219 0.170
As 0.750 0.781 0.830
As 0.750 0.719 0.330
As 0.750 0.416 0.183
As 0.250 0.657 0.618
As 0.750 0.343 0.382
As 0.750 0.157 0.882
As 0.250 0.343 0.950
As 0.250 0.843 0.118
Br 0.250 0.516 0.280
Br 0.250 0.984 0.780
Br 0.750 0.016 0.220
Br 0.750 0.484 0.720
Na 0.250 0.893 0.943
Na 0.250 0.607 0.443
Na 0.750 0.393 0.557
Na 0.750 0.107 0.057

***

[9]
A crystal of NaAsBr2O relaxed with PBEsol, computed with SCAN.

Properties
Raw formation energy   0.740 eV per atom
Uncorrected energy   -13.172 eV/atom
SG   P4/mmm, No. 123

Lattice parameters (Å, degrees): 5.267 5.267 5.457 90.00 90.00 90.00
Atoms (fractional coordinates):
As 0.000 0.000 0.500
Na 0.000 0.000 0.000
O 0.500 0.500 0.500
Br 0.500 0.000 0.000
Br 0.000 0.500 0.000

***

[10]
A crystal of NaAsOsBr2 relaxed with PBEsol, computed with SCAN.

Properties
Raw formation energy   1.335 eV per atom
Uncorrected energy   -25.706 eV/atom
SG   P4/mmm, No. 123

Lattice parameters (Å, degrees): 4.913 4.913 5.387 90.00 90.00 90.00
Atoms (fractional coordinates):
Os 0.500 0.500 0.500
Br 0.000 0.500 0.000
Br 0.500 0.000 0.000
As 0.000 0.000 0.500
Na 0.000 0.000 0.000

***

[11]
A crystal of NaAs2OsBr relaxed with PBEsol, computed with SCAN.

Properties
Raw formation energy   1.830 eV per atom
Uncorrected energy   -25.357 eV/atom
SG   P4/mmm, No. 123

Lattice parameters (Å, degrees): 4.798 4.910 4.910 90.00 90.00 90.00
Atoms (fractional coordinates):
As 0.000 0.500 0.000
As 0.000 0.000 0.500
Br 0.500 0.000 0.000
Na 0.000 0.000 0.000
Os 0.500 0.500 0.500

***

[12]
A crystal of NaAsPbBr2 relaxed with PBEsol, computed with SCAN.

Properties
Raw formation energy   -0.357 eV per atom
Uncorrected energy   -28.178 eV/atom
SG   P4/mmm, No. 123

Lattice parameters (Å, degrees): 5.452 5.843 5.843 90.00 90.00 90.00
Atoms (fractional coordinates):
Pb 0.000 0.000 0.000
Br 0.000 0.000 0.500
Br 0.000 0.500 0.000
Na 0.500 0.500 0.500
As 0.500 0.000 0.000